## w
DFT (PBE) results for a relaxed La2CoBr crystal.

Its size of the total moment is 0.00 μB per formula unit.

a = 4.0441 Å, b = 4.0441 Å, c = 24.0263 Å
α = 90.00°, β = 90.00°, γ = 120.00°
Last column: nearest neighbours and their distance in Å.
Space group R3m (No. 160, hexagonal axes)
Unique sites:
La: 0.0000 0.0000 0.0000  3 Co 2.80
La: 0.0000 0.0000 0.2065  3 Co 2.78
Co: 0.0000 0.0000 0.6026  6 La 2.78-2.80
Br: 0.0000 0.0000 0.7716  6 La 3.38-3.44

## x
DFT (PBE) results for a relaxed La2CoBr crystal.

Its size of the total moment is 0.00 μB per formula unit.

a = 4.1396 Å, b = 4.1396 Å, c = 11.6424 Å
α = 90.00°, β = 90.00°, γ = 90.00°
Last column: nearest neighbours and their distance in Å.
Space group I-4m2 (No. 119)
Unique sites:
La: 0.0000 0.0000 0.0000  4 Co 2.93
La: 0.0000 0.5000 0.2500  4 Br 2.93
Co: 0.0000 0.0000 0.5000  4 La 2.93
Br: 0.0000 0.5000 0.7500  4 La 2.93

Relative energies with respect to the most stable structure, expressed in kJ/mol of atoms: w 0.0; x 46.5.

## w
DFT (PBE) results for a relaxed La2CoBr crystal.

Its size of the total moment is 0.00 μB per formula unit.

a = 7.0364 Å, b = 4.0623 Å, c = 8.2608 Å
α = 90.00°, β = 106.57°, γ = 90.00°
Last column: nearest neighbours and their distance in Å.
Space group C2/m (No. 12)
Unique sites:
La: 0.2309 0.0000 0.1916  3 Co 2.79
Co: 0.0000 0.5000 0.0000  6 La 2.79
Br: 0.0000 0.0000 0.5000  6 La 3.38-3.39

## x
DFT (PBE) results for a relaxed La2CoBr crystal.

Its size of the total moment is 0.67 μB per formula unit.

a = 7.3329 Å, b = 7.7139 Å, c = 3.5309 Å
α = 90.00°, β = 97.61°, γ = 90.00°
Last column: nearest neighbours and their distance in Å.
Space group C2/m (No. 12)
Unique sites:
La: 0.2500 0.2500 0.0000  4 Co 3.06-3.32, 4 Br 3.06-3.32
Co: 0.0000 0.0000 0.5000  8 La 3.06-3.32
Br: 0.0000 0.5000 0.5000  8 La 3.06-3.32

Relative energies with respect to the most stable structure, expressed in kJ/mol of atoms: w 0.0; x 41.7.

## w
DFT (PBE) results for a relaxed LaCo3Br crystal.

Its size of the total moment is 2.95 μB per formula unit.

a = 4.8189 Å, b = 4.8189 Å, c = 4.8189 Å
α = 90.00°, β = 90.00°, γ = 90.00°
Last column: nearest neighbours and their distance in Å.
Space group Pm-3m (No. 221)
Unique sites:
La: 0.0000 0.0000 0.0000  6 Co 2.41
Co: 0.0000 0.0000 0.5000  2 La 2.41
Br: 0.5000 0.5000 0.5000  12 Co 3.41

## x
DFT (PBE) results for a relaxed LaCo3Br crystal.

Its size of the total moment is 1.21 μB per formula unit.

a = 4.4736 Å, b = 4.4736 Å, c = 4.4736 Å
α = 90.00°, β = 90.00°, γ = 90.00°
Last column: nearest neighbours and their distance in Å.
Space group Pm-3m (No. 221)
Unique sites:
La: 0.0000 0.0000 0.0000  12 Co 3.16
Co: 0.0000 0.5000 0.5000  2 Br 2.24
Br: 0.5000 0.5000 0.5000  6 Co 2.24

Relative energies with respect to the most stable structure, expressed in kJ/mol of atoms: w 90.6; x 0.0.

## w
DFT (PBE) results for a relaxed La3CoBr crystal.

Its size of the total moment is 0.00 μB per formula unit.

a = 3.9021 Å, b = 9.0832 Å, c = 9.1603 Å
α = 67.07°, β = 89.92°, γ = 89.91°
Last column: nearest neighbours and their distance in Å.
Space group P-1 (No. 2)
Unique sites:
La: 0.2483 0.2178 0.1178  2 Co 2.69-2.70
La: 0.2510 0.5533 0.2435  2 Co 2.70-2.72
La: 0.2507 0.8094 0.5137  1 Co 3.08, 2 Br 3.33-3.34
Co: 0.2505 0.5837 0.8661  4 La 2.69-2.72
Br: 0.2498 0.1171 0.8023  7 La 3.33-3.46

## x
DFT (PBE) results for a relaxed La3CoBr crystal.

Its size of the total moment is 0.00 μB per formula unit.

a = 5.4365 Å, b = 5.4365 Å, c = 5.4365 Å
α = 90.00°, β = 90.00°, γ = 90.00°
Last column: nearest neighbours and their distance in Å.
Space group Pm-3m (No. 221)
Unique sites:
La: 0.0000 0.0000 0.5000  2 Co 2.72
Co: 0.0000 0.0000 0.0000  6 La 2.72
Br: 0.5000 0.5000 0.5000  12 La 3.84

Relative energies with respect to the most stable structure, expressed in kJ/mol of atoms: w 0.0; x 26.8.

## w
DFT (PBE) results for a relaxed LiCoBr3 crystal.

Its size of the total moment is 3.00 μB per formula unit.

a = 3.8934 Å, b = 24.0668 Å, c = 6.5671 Å
α = 90.00°, β = 90.00°, γ = 90.00°
Last column: nearest neighbours and their distance in Å.
Space group Ama2 (No. 40)
Unique sites:
Li: 0.2500 0.1886 0.0000  5 Br 2.65-2.77
Co: 0.2500 0.3711 0.9579  4 Br 2.37-2.42
Br: 0.2500 0.0783 0.3412  2 Co 2.42
Br: 0.2500 0.2828 0.7822  1 Co 2.42, 1 Li 2.68
Br: 0.2500 0.3672 0.3188  1 Co 2.37, 2 Li 2.65

## x
DFT (PBE) results for a relaxed LiCoBr3 crystal.

Its size of the total moment is 2.22 μB per formula unit.

a = 5.0530 Å, b = 5.0530 Å, c = 5.0530 Å
α = 90.00°, β = 90.00°, γ = 90.00°
Last column: nearest neighbours and their distance in Å.
Space group Pm-3m (No. 221)
Unique sites:
Li: 0.0000 0.0000 0.0000  12 Br 3.57
Co: 0.5000 0.5000 0.5000  6 Br 2.53
Br: 0.0000 0.5000 0.5000  2 Co 2.53

Relative energies with respect to the most stable structure, expressed in kJ/mol of atoms: w 0.0; x 31.3.

## w
DFT (PBE) results for a relaxed LiCoBr2 crystal.

Its size of the total moment is 2.11 μB per formula unit.

a = 7.1058 Å, b = 7.1058 Å, c = 7.1058 Å
α = 90.00°, β = 90.00°, γ = 90.00°
Last column: nearest neighbours and their distance in Å.
Space group F-43m (No. 216)
Unique sites:
Li: 0.0000 0.0000 0.0000  4 Br 3.08, 4 Co 3.08
Co: 0.2500 0.2500 0.7500  4 Li 3.08, 4 Br 3.08
Br: 0.0000 0.0000 0.5000  4 Co 3.08, 4 Br 3.08
Br: 0.2500 0.2500 0.2500  4 Li 3.08, 4 Br 3.08

## x
DFT (PBE) results for a relaxed LiCoBr2 crystal.

Its size of the total moment is 2.00 μB per formula unit.

a = 14.4126 Å, b = 3.6299 Å, c = 3.6308 Å
α = 90.00°, β = 90.89°, γ = 90.00°
Last column: nearest neighbours and their distance in Å.
Space group Cm (No. 8)
Unique sites:
Li: 0.0000 0.0000 0.0000  5 Br 2.61-2.63
Co: 0.3643 0.0000 0.4507  5 Br 2.51-2.72
Br: 0.0384 0.5000 0.5018  1 Co 2.51, 4 Li 2.62-2.63
Br: 0.3189 0.5000 0.9779  4 Co 2.58-2.72, 1 Li 2.61

Relative energies with respect to the most stable structure, expressed in kJ/mol of atoms: w 81.6; x 0.0.